[1]
Material: VRuBr2
Method: DFT, GGA-PBE
State: optimized geometry

Uncorrected formation energy, eV per atom: 0.421
Spin magnetization, μB/cell: 0.77
DFT total energy, eV/atom: -5.014
Polymorph energy (0 for the lowest one), eV per atom: 0.000

a = 8.5070 Å, b = 8.5070 Å, c = 8.5070 Å
α = 21.55°, β = 21.55°, γ = 21.55°
Positions (direct):
1 V 0.0000 0.0000 0.0000
2 Ru 0.5000 0.5000 0.5000
3 Br 0.4031 0.4031 0.4031
4 Br 0.5969 0.5969 0.5969

***

[2]
Material: TiCrBr2
Method: DFT, GGA-PBE
State: optimized geometry

Uncorrected formation energy, eV per atom: -0.086
Spin magnetization, μB/cell: 5.02
DFT total energy, eV/atom: -5.302
Polymorph energy (0 for the lowest one), eV per atom: 0.000

a = 9.3712 Å, b = 9.3712 Å, c = 9.3712 Å
α = 20.80°, β = 20.80°, γ = 20.80°
Positions (direct):
1 Ti 0.0000 0.0000 0.0000
2 Cr 0.5000 0.5000 0.5000
3 Br 0.3974 0.3974 0.3974
4 Br 0.6026 0.6026 0.6026

***

[3]
Material: Rb2SnHg
Method: DFT, GGA-PBE
State: optimized geometry

Spin magnetization, μB/cell: 2.00
DFT total energy, eV/atom: -1.570
Energy of formation from the pure elements, eV per atom: -0.010

a = 6.3159 Å, b = 6.3159 Å, c = 6.3159 Å
α = 60.00°, β = 60.00°, γ = 60.00°
Positions (direct):
1 Rb 0.2500 0.2500 0.2500
2 Rb 0.7500 0.7500 0.7500
3 Sn 0.0000 0.0000 0.0000
4 Hg 0.5000 0.5000 0.5000

***

[4]
Material: Ba3SrGa4
Method: DFT, GGA-PBE
State: optimized geometry

Spin magnetization, μB/cell: 0.00
DFT total energy, eV/atom: -2.742
Energy of formation from the pure elements, eV per atom: -0.298

a = 6.6633 Å, b = 6.6645 Å, c = 8.4078 Å
α = 102.15°, β = 109.22°, γ = 108.55°
Positions (direct):
1 Ba 0.0000 0.0000 0.0000
2 Ba 0.2570 0.4613 0.7178
3 Ba 0.7430 0.5387 0.2822
4 Sr 0.5000 0.0000 0.5000
5 Ga 0.2024 0.5881 0.1290
6 Ga 0.4599 0.0734 0.8713
7 Ga 0.5401 0.9266 0.1287
8 Ga 0.7976 0.4119 0.8710

***

[5]
Material: ZrReAsSe2
Method: DFT, GGA-PBE
State: optimized geometry

Uncorrected formation energy, eV per atom: 0.535
Spin magnetization, μB/cell: 2.03
DFT total energy, eV/atom: -5.987
Polymorph energy (0 for the lowest one), eV per atom: 0.000

a = 4.9185 Å, b = 4.9185 Å, c = 4.7578 Å
α = 90.00°, β = 90.00°, γ = 90.00°
Positions (direct):
1 Zr 0.0000 0.0000 0.0000
2 Re 0.5000 0.5000 0.5000
3 As 0.5000 0.5000 0.0000
4 Se 0.0000 0.5000 0.5000
5 Se 0.5000 0.0000 0.5000

***

[6]
Material: BaCrCl2
Method: DFT, GGA-PBE
State: optimized geometry

Uncorrected formation energy, eV per atom: -0.965
Spin magnetization, μB/cell: 5.90
DFT total energy, eV/atom: -4.775
Polymorph energy (0 for the lowest one), eV per atom: 0.000

a = 6.1554 Å, b = 6.1554 Å, c = 4.5798 Å
α = 90.02°, β = 90.02°, γ = 43.12°
Positions (direct):
1 Ba 0.0000 0.0000 0.0000
2 Cr 0.7754 0.7754 0.4753
3 Cl 0.2874 0.2874 0.0802
4 Cl 0.5602 0.5602 0.5106